# 1
First-principles (PBE) data for a relaxed structure of Rb3Y3PuTe8, as listed in Alexandria.

```
15
Lattice="4.474 2.583 8.715 -4.474 2.583 8.715 0.000 -5.166 8.715" Properties=species:S:1:pos:R:3 pbc="T T T"
Rb -2.237 -1.291 8.715
Rb -2.237 1.291 17.430
Rb 0.000 2.583 8.715
Y -4.474 0.000 13.073
Y -2.237 1.291 4.358
Y 2.237 1.291 4.358
Pu 0.000 0.000 13.073
Te -2.236 -1.291 14.786
Te 0.000 0.000 6.097
Te 0.000 -2.582 11.359
Te -2.236 1.291 11.359
Te 2.236 -1.291 14.786
Te 0.000 2.582 14.786
Te 0.000 0.000 20.048
Te 2.236 1.291 11.359
```

Computed properties:
theoretical density	4.91	g cm⁻³
energy relative to the elements, uncorrected	-1273	meV per atom
space group	R-3m, No. 166



# 2
First-principles (PBE) data for a relaxed structure of Hf2MgZn, as listed in Alexandria.

```
12
Lattice="2.997 0.000 0.000 -1.498 2.595 0.000 0.000 0.000 32.755" Properties=species:S:1:pos:R:3 pbc="T T T"
Hf 0.000 0.000 3.036
Hf 0.000 0.000 29.719
Hf 0.000 1.730 18.800
Hf 0.000 1.730 24.873
Hf 1.498 0.865 7.882
Hf 1.498 0.865 13.954
Mg 0.000 0.000 0.000
Mg 0.000 1.730 21.837
Mg 1.498 0.865 10.918
Zn 0.000 0.000 16.377
Zn 0.000 1.730 5.459
Zn 1.498 0.865 27.296
```

Computed properties:
theoretical density	8.73	g cm⁻³
space group	R-3m, No. 166
formation energy	0.256	eV/atom
polymorph energy (0 for the lowest one)	91	kJ/mol of formula units



# 3
First-principles (PBE) data for a relaxed structure of La3TaCl, as listed in Alexandria.

```
5
Lattice="5.391 0.000 0.000 0.000 5.391 0.000 0.000 0.000 5.391" Properties=species:S:1:pos:R:3 pbc="T T T"
La 0.000 0.000 2.695
La 0.000 2.695 0.000
La 2.695 0.000 0.000
Ta 2.695 2.695 2.695
Cl 0.000 0.000 0.000
```

Computed properties:
theoretical density	6.71	g cm⁻³
energy relative to the elements, uncorrected	60	meV per atom
space group	Pm-3m, No. 221
polymorph energy (0 for the lowest one)	0	kJ/mol of formula units



# 4
First-principles (PBE) data for a relaxed structure of B5C7, as listed in Alexandria.

```
12
Lattice="2.567 0.000 0.000 0.000 7.827 0.000 0.000 0.000 3.930" Properties=species:S:1:pos:R:3 pbc="T T T"
B 0.000 0.000 0.000
B 0.000 1.276 1.163
B 0.000 6.551 1.163
B 1.284 0.000 2.751
B 1.284 3.913 1.989
C 0.000 2.680 3.867
C 0.000 3.913 0.884
C 0.000 5.147 3.867
C 1.284 1.439 2.063
C 1.284 2.591 3.015
C 1.284 5.236 3.015
C 1.284 6.388 2.063
```

Computed properties:
theoretical density	2.90	g cm⁻³
space group	Pmm2, No. 25
formation energy	0.437	eV/atom
polymorph energy (0 for the lowest one)	208	kJ/mol of formula units



# 5
First-principles (PBE) data for a relaxed structure of MnNiMo2, as listed in Alexandria.

```
4
Lattice="2.643 0.000 0.000 0.000 3.839 0.000 -0.452 0.000 5.337" Properties=species:S:1:pos:R:3 pbc="T T T"
Mn 0.000 0.000 0.000
Ni -0.226 0.000 2.669
Mo 1.106 1.919 1.311
Mo 1.086 1.919 4.026
```

Computed properties:
theoretical density	9.37	g cm⁻³
space group	P2/m, No. 10
formation energy	0.107	eV/atom
polymorph energy (0 for the lowest one)	17	kJ/mol of formula units



# 6
First-principles (PBE) data for a relaxed structure of Cs2Hg2S, as listed in Alexandria.

```
10
Lattice="8.794 0.000 0.000 0.000 8.794 0.000 0.000 0.000 6.477" Properties=species:S:1:pos:R:3 pbc="T T T"
Cs 1.427 2.970 0.000
Cs 2.970 7.367 0.000
Cs 5.824 1.427 0.000
Cs 7.367 5.824 0.000
Hg 1.311 5.708 3.238
Hg 3.086 1.311 3.238
Hg 5.708 7.483 3.238
Hg 7.483 3.086 3.238
S 0.000 0.000 0.000
S 4.397 4.397 0.000
```

Computed properties:
theoretical density	4.63	g cm⁻³
energy relative to the elements, uncorrected	-380	meV per atom
space group	P4/mbm, No. 127
polymorph energy (0 for the lowest one)	0	kJ/mol of formula units